1.
Compound: NaTc2PbO8
Source: Alexandria via LeMat-Bulk
Functional: PBE-GGA
Structure: relaxed

For the spin magnetization, the calculation gives 0.18 μB per formula unit. The calculation puts the total energy at -6.92 eV per atom. For the density of states at the Fermi level, the calculation gives 0.447 states/eV/atom.

The structure belongs to space group I-4 (No. 82); the cell edges are 5.4572, 5.4572 and 12.2104 Å and the angles 90.00°, 90.00° and 90.00°. The asymmetric unit holds Na at (0.0000, 0.0000, 0.0000), Tc at (0.0000, 0.0000, 0.5000), Tc at (0.0000, 0.5000, 0.2500), Pb at (0.0000, 0.5000, 0.7500), O at (0.1336, 0.7373, 0.1711) and O at (0.1355, 0.2329, 0.5802).



2.
Compound: Na2TcPb2O6
Source: Alexandria via LeMat-Bulk
Functional: PBE-GGA
Structure: relaxed

For the spin magnetization, the calculation gives 1.00 μB per formula unit. The calculation puts the total energy at -5.88 eV per atom. For the density of states at the Fermi level, the calculation gives 0.247 states/eV/atom.

The structure belongs to space group C2/m (No. 12); the cell edges are 6.1770, 10.1910 and 5.8569 Å and the angles 90.00°, 105.44° and 90.00°. The asymmetric unit holds Na at (0.0000, 0.1473, 0.0000), Tc at (0.0000, 0.0000, 0.5000), Pb at (0.0000, 0.3366, 0.5000), O at (0.1847, 0.1418, 0.6935) and O at (0.2032, 0.0000, 0.2957).



3.
Compound: NaTcPbO5
Source: Alexandria via LeMat-Bulk
Functional: PBE-GGA
Structure: relaxed

For the spin magnetization, the calculation gives 0.37 μB per formula unit. The calculation puts the total energy at -6.34 eV per atom. For the density of states at the Fermi level, the calculation gives 0.312 states/eV/atom.

The structure belongs to space group C2/c (No. 15); the cell edges are 7.6273, 9.8457 and 8.2908 Å and the angles 90.00°, 109.40° and 90.00°. The asymmetric unit holds Na at (0.0000, 0.1873, 0.2500), Tc at (0.0000, 0.1614, 0.7500), Pb at (0.0000, 0.5000, 0.0000), O at (0.0000, 0.4165, 0.2500), O at (0.1260, 0.2687, 0.6566) and O at (0.1470, 0.0551, 0.9098).



4.
Compound: Na3TcPb2O6
Source: Alexandria via LeMat-Bulk
Functional: PBE-GGA
Structure: relaxed

For the spin magnetization, the calculation gives 2.00 μB per formula unit. The calculation puts the total energy at -5.63 eV per atom. For the density of states at the Fermi level, the calculation gives 0.223 states/eV/atom.

The structure belongs to space group C2/m (No. 12); the cell edges are 6.0152, 10.6696 and 5.8245 Å and the angles 90.00°, 109.72° and 90.00°. The asymmetric unit holds Na at (0.0000, 0.0000, 0.0000), Na at (0.0000, 0.3529, 0.0000), Tc at (0.0000, 0.5000, 0.5000), Pb at (0.0000, 0.1678, 0.5000), O at (0.2059, 0.3652, 0.7158) and O at (0.2164, 0.5000, 0.2961).



5.
Compound: NaTcPb2O6
Source: Alexandria via LeMat-Bulk
Functional: PBE-GGA
Structure: relaxed

For the spin magnetization, the calculation gives 0.00 μB per formula unit. The calculation puts the total energy at -6.21 eV per atom. For the density of states at the Fermi level, the calculation gives 0.010 states/eV/atom.

The structure belongs to space group P2_1/c (No. 14); the cell edges are 5.6885, 6.0693 and 9.9120 Å and the angles 90.00°, 123.75° and 90.00°. The asymmetric unit holds Na at (0.0000, 0.0000, 0.0000), Tc at (0.5000, 0.0000, 0.5000), Pb at (0.2265, 0.0529, 0.7367), O at (0.1811, 0.1687, 0.4628), O at (0.2707, 0.7419, 0.4323) and O at (0.3842, 0.0548, 0.2794).



6.
Compound: Na2TePbO6
Source: Alexandria via LeMat-Bulk
Functional: PBE-GGA
Structure: relaxed

For the spin magnetization, the calculation gives 0.00 μB per formula unit. The calculation puts the total energy at -5.13 eV per atom.

The structure belongs to space group R-3 (No. 148, hexagonal axes); the cell edges are 5.7020, 5.7020 and 13.8030 Å and the angles 90.00°, 90.00° and 120.00°. The asymmetric unit holds Na at (0.0000, 0.0000, 0.2398), Te at (0.0000, 0.0000, 0.0000), Pb at (0.0000, 0.0000, 0.5000) and O at (0.0278, 0.4160, 0.7476).



7.
Compound: Na2TePbO
Source: Alexandria via LeMat-Bulk
Functional: PBE-GGA
Structure: relaxed

For the spin magnetization, the calculation gives 0.00 μB per formula unit. The calculation puts the total energy at -3.87 eV per atom. For the density of states at the Fermi level, the calculation gives 0.018 states/eV/atom.

The structure belongs to space group P4/mmm (No. 123); the cell edges are 4.7589, 4.7589 and 5.0256 Å and the angles 90.00°, 90.00° and 90.00°. The asymmetric unit holds Na at (0.0000, 0.5000, 0.0000), Te at (0.0000, 0.0000, 0.5000), Pb at (0.5000, 0.5000, 0.5000) and O at (0.5000, 0.5000, 0.0000).



8.
Compound: Na2TePbO4
Source: Alexandria via LeMat-Bulk
Functional: PBE-GGA
Structure: relaxed

For the spin magnetization, the calculation gives 0.00 μB per formula unit. The calculation puts the total energy at -4.78 eV per atom.

The structure belongs to space group Imma (No. 74); the cell edges are 6.8896, 6.9664 and 10.3183 Å and the angles 90.00°, 90.00° and 90.00°. The asymmetric unit holds Na at (0.0000, 0.0000, 0.0000), Na at (0.2500, 0.2500, 0.2500), Te at (0.2500, 0.2500, 0.7500), Pb at (0.0000, 0.0000, 0.5000), O at (0.0000, 0.0239, 0.7548) and O at (0.2403, 0.2500, 0.9595).



9.
Compound: Na2TePb2O6
Source: Alexandria via LeMat-Bulk
Functional: PBE-GGA
Structure: relaxed

For the spin magnetization, the calculation gives 0.00 μB per formula unit. The calculation puts the total energy at -5.17 eV per atom. For the density of states at the Fermi level, the calculation gives 0.000 states/eV/atom.

The structure belongs to space group C2/m (No. 12); the cell edges are 6.2567, 9.8818 and 5.9487 Å and the angles 90.00°, 108.47° and 90.00°. The asymmetric unit holds Na at (0.0000, 0.1549, 0.0000), Te at (0.0000, 0.5000, 0.0000), Pb at (0.0000, 0.3191, 0.5000), O at (0.1851, 0.5000, 0.7748) and O at (0.1926, 0.3586, 0.1931).



10.
Compound: NaTePbO5
Source: Alexandria via LeMat-Bulk
Functional: PBE-GGA
Structure: relaxed

For the spin magnetization, the calculation gives 0.00 μB per formula unit. The calculation puts the total energy at -5.16 eV per atom.

The structure belongs to space group C2/c (No. 15); the cell edges are 8.2830, 9.7927 and 8.0091 Å and the angles 90.00°, 114.27° and 90.00°. The asymmetric unit holds Na at (0.0000, 0.1900, 0.2500), Te at (0.0000, 0.1456, 0.7500), Pb at (0.0000, 0.5000, 0.0000), O at (0.0000, 0.4269, 0.2500), O at (0.0521, 0.2550, 0.5886) and O at (0.1780, 0.0243, 0.8844).



11.
Compound: NaTe2PbO6
Source: Alexandria via LeMat-Bulk
Functional: PBE-GGA
Structure: relaxed

For the spin magnetization, the calculation gives 0.00 μB per formula unit. The calculation puts the total energy at -5.24 eV per atom. For the density of states at the Fermi level, the calculation gives 0.240 states/eV/atom.

The structure belongs to space group C2/c (No. 15); the cell edges are 12.4373, 8.8813 and 7.8155 Å and the angles 90.00°, 126.43° and 90.00°. The asymmetric unit holds Na at (0.0000, 0.1924, 0.2500), Te at (0.1933, 0.4942, 0.7029), Pb at (0.0000, 0.2117, 0.7500), O at (0.0757, 0.3325, 0.5485), O at (0.1379, 0.0901, 0.1695) and O at (0.1741, 0.4179, 0.9513).



12.
Compound: NaTi2PbO6
Source: Alexandria via LeMat-Bulk
Functional: PBE-GGA
Structure: relaxed

For the spin magnetization, the calculation gives 0.00 μB per formula unit. The calculation puts the total energy at -7.36 eV per atom. For the density of states at the Fermi level, the calculation gives 0.200 states/eV/atom.

The structure belongs to space group C2/c (No. 15); the cell edges are 10.8156, 9.9862 and 6.2788 Å and the angles 90.00°, 111.71° and 90.00°. The asymmetric unit holds Na at (0.0000, 0.2292, 0.2500), Ti at (0.1961, 0.0830, 0.7276), Pb at (0.0000, 0.4004, 0.7500), O at (0.1183, 0.4163, 0.1500), O at (0.1328, 0.2482, 0.6635) and O at (0.1426, 0.0038, 0.9474).



13.
Compound: Na2TiPbO4
Source: Alexandria via LeMat-Bulk
Functional: PBE-GGA
Structure: relaxed

For the spin magnetization, the calculation gives 0.00 μB per formula unit. The calculation puts the total energy at -6.34 eV per atom. For the density of states at the Fermi level, the calculation gives 0.000 states/eV/atom.

The structure belongs to space group Pmn2_1 (No. 31); the cell edges are 7.9188, 6.1437 and 5.4193 Å and the angles 90.00°, 90.00° and 90.00°. The asymmetric unit holds Na at (0.2468, 0.1815, 0.0000), Ti at (0.0000, 0.3310, 0.5222), Pb at (0.0000, 0.7080, 0.9945), O at (0.0000, 0.3562, 0.8657), O at (0.0000, 0.6177, 0.4071) and O at (0.1919, 0.1879, 0.4327).



14.
Compound: NaTlPb2O4
Source: Alexandria via LeMat-Bulk
Functional: PBE-GGA
Structure: relaxed

For the spin magnetization, the calculation gives 0.00 μB per formula unit. The calculation puts the total energy at -4.80 eV per atom. For the density of states at the Fermi level, the calculation gives 0.159 states/eV/atom.

The structure belongs to space group Imma (No. 74); the cell edges are 7.2268, 7.2564 and 9.8628 Å and the angles 90.00°, 90.00° and 90.00°. The asymmetric unit holds Na at (0.0000, 0.0000, 0.0000), Tl at (0.2500, 0.2500, 0.2500), Pb at (0.0000, 0.0000, 0.5000), Pb at (0.2500, 0.2500, 0.7500), O at (0.0000, 0.0090, 0.2428) and O at (0.2479, 0.2500, 0.0218).



15.
Compound: Na2TlPbO
Source: Alexandria via LeMat-Bulk
Functional: PBE-GGA
Structure: relaxed

For the spin magnetization, the calculation gives 0.00 μB per formula unit. The calculation puts the total energy at -3.30 eV per atom. For the density of states at the Fermi level, the calculation gives 0.591 states/eV/atom.

The structure belongs to space group P4/mmm (No. 123); the cell edges are 4.7244, 4.7244 and 5.1052 Å and the angles 90.00°, 90.00° and 90.00°. The asymmetric unit holds Na at (0.0000, 0.5000, 0.0000), Tl at (0.0000, 0.0000, 0.5000), Pb at (0.5000, 0.5000, 0.5000) and O at (0.5000, 0.5000, 0.0000).



16.
Compound: Na3Tl3PbO8
Source: Alexandria via LeMat-Bulk
Functional: PBE-GGA
Structure: relaxed

For the spin magnetization, the calculation gives 0.00 μB per formula unit. The calculation puts the total energy at -4.66 eV per atom.

The structure belongs to space group R-3m (No. 166, hexagonal axes); the cell edges are 6.8066, 6.8066 and 16.9808 Å and the angles 90.00°, 90.00° and 120.00°. The asymmetric unit holds Na at (0.0000, 0.5000, 0.0000), Tl at (0.0000, 0.5000, 0.5000), Pb at (0.0000, 0.0000, 0.5000), O at (0.0000, 0.0000, 0.2398) and O at (0.0167, 0.5083, 0.2377).



17.
Compound: Na4Tl3PbO8
Source: Alexandria via LeMat-Bulk
Functional: PBE-GGA
Structure: relaxed

For the spin magnetization, the calculation gives 0.00 μB per formula unit. The calculation puts the total energy at -4.58 eV per atom. For the density of states at the Fermi level, the calculation gives 0.168 states/eV/atom.

The structure belongs to space group R-3m (No. 166, hexagonal axes); the cell edges are 6.8832, 6.8832 and 16.8522 Å and the angles 90.00°, 90.00° and 120.00°. The asymmetric unit holds Na at (0.0000, 0.0000, 0.0000), Na at (0.0000, 0.5000, 0.0000), Tl at (0.0000, 0.5000, 0.5000), Pb at (0.0000, 0.0000, 0.5000), O at (0.0000, 0.0000, 0.2401) and O at (0.0044, 0.5022, 0.2413).



18.
Compound: Na3Tm2PbO6
Source: Alexandria via LeMat-Bulk
Functional: PBE-GGA
Structure: relaxed

For the spin magnetization, the calculation gives 0.69 μB per formula unit. The calculation puts the total energy at -6.14 eV per atom. For the density of states at the Fermi level, the calculation gives 0.380 states/eV/atom.

The structure belongs to space group C2/m (No. 12); the cell edges are 5.9123, 10.2290 and 5.9658 Å and the angles 90.00°, 109.45° and 90.00°. The asymmetric unit holds Na at (0.0000, 0.0000, 0.0000), Na at (0.0000, 0.3351, 0.0000), Tm at (0.0000, 0.1667, 0.5000), Pb at (0.0000, 0.5000, 0.5000), O at (0.2201, 0.0000, 0.7181) and O at (0.2486, 0.3239, 0.7156).



19.
Compound: NaTm2PbO6
Source: Alexandria via LeMat-Bulk
Functional: PBE-GGA
Structure: relaxed

For the spin magnetization, the calculation gives 1.07 μB per formula unit. The calculation puts the total energy at -6.58 eV per atom. For the density of states at the Fermi level, the calculation gives 0.816 states/eV/atom.

The structure belongs to space group R3 (No. 146, hexagonal axes); the cell edges are 5.7417, 5.7417 and 15.4647 Å and the angles 90.00°, 90.00° and 120.00°. The asymmetric unit holds Na at (0.0000, 0.0000, 0.0000), Tm at (0.0000, 0.0000, 0.2771), Tm at (0.0000, 0.0000, 0.7849), Pb at (0.0000, 0.0000, 0.4874), O at (0.0022, 0.3135, 0.8771) and O at (0.0344, 0.6240, 0.0489).